VASP calculation (PBE) on a geometry-optimized Dy3ErIr4 structure.

The structure belongs to space group Pmmm (No. 47); the cell edges are 3.3108, 4.9129 and 9.8256 Å and the angles 90.00°, 90.00° and 90.00°. Symmetry generates all atoms from Dy at (0.0000, 0.0000, 0.0000), Dy at (0.0000, 0.5000, 0.2508), Er at (0.0000, 0.0000, 0.5000), Ir at (0.5000, 0.0000, 0.2520), Ir at (0.5000, 0.5000, 0.0000) and Ir at (0.5000, 0.5000, 0.5000).

The calculation puts the total DFT energy (no corrections) at -7.556 eV/atom.